1.
Here is TiSi2W after structural relaxation from the Alexandria database. Energies are from PBE-GGA.

## Properties
The value obtained for the total magnetic moment is 0.0 μB/f.u. The space group is No. 166. The theoretical density is 7436 kg/m³. Its excess energy over the best structure of this formula in the dataset is 0.131 eV per atom.

Lattice parameters (Å, degrees): 6.284 6.284 6.284 32.66 32.66 32.66
Positions (direct):
Ti1 0.000 0.000 0.000
Si1 0.249 0.249 0.249
Si2 0.751 0.751 0.751
W1 0.500 0.500 0.500

=====

2.
Here is Ti5Si4W after structural relaxation from the Alexandria database. Energies are from PBE-GGA.

## Properties
The value obtained for the total magnetic moment is 0.0 μB/f.u. The space group is No. 12. The theoretical density is 5394 kg/m³.

Lattice parameters (Å, degrees): 6.797 6.797 6.020 90.87 90.87 36.36
Positions (direct):
Ti1 0.000 0.000 0.000
Ti2 0.333 0.333 0.500
Ti3 0.333 0.333 0.998
Ti4 0.667 0.667 0.002
Ti5 0.667 0.667 0.500
Si1 0.170 0.170 0.747
Si2 0.496 0.496 0.744
Si3 0.504 0.504 0.256
Si4 0.830 0.830 0.253
W1 0.000 0.000 0.500

=====

The records above yield formation energy from raw total energies values of 0.00, -0.24 eV per atom, respectively.